[1]
## KHgPt2Pb (GGA-PBE)

Data for a relaxed structure of KHgPt2Pb.

Unit cell a=5.190 b=5.190 c=5.426 alpha=90.00 beta=90.00 gamma=90.00
Sites, in units of the cell vectors:
K 0.000 0.000 0.000
Hg 0.000 0.000 0.500
Pt 0.000 0.500 0.500
Pt 0.500 0.000 0.500
Pb 0.500 0.500 0.000

Values from the calculation:
The formation energy comes out at 624 meV per atom.



[2]
## Ni5Mo12As18 (GGA-PBE)

Data for a relaxed structure of Ni5Mo12As18.

Unit cell a=6.791 b=6.791 c=26.425 alpha=103.34 beta=103.34 gamma=28.60
Sites, in units of the cell vectors:
Ni 0.000 0.000 0.000
Ni 0.325 0.325 0.334
Ni 0.334 0.334 0.829
Ni 0.666 0.666 0.171
Ni 0.675 0.675 0.666
Mo 0.107 0.107 0.293
Mo 0.122 0.122 0.791
Mo 0.219 0.219 0.043
Mo 0.220 0.220 0.539
Mo 0.450 0.450 0.127
Mo 0.455 0.455 0.620
Mo 0.545 0.545 0.380
Mo 0.550 0.550 0.873
Mo 0.780 0.780 0.461
Mo 0.781 0.781 0.957
Mo 0.878 0.878 0.209
Mo 0.893 0.893 0.707
As 0.058 0.058 0.192
As 0.093 0.093 0.601
As 0.129 0.129 0.947
As 0.196 0.196 0.388
As 0.258 0.258 0.731
As 0.269 0.269 0.144
As 0.405 0.405 0.516
As 0.416 0.416 0.934
As 0.456 0.456 0.284
As 0.544 0.544 0.716
As 0.584 0.584 0.066
As 0.595 0.595 0.484
As 0.731 0.731 0.856
As 0.742 0.742 0.269
As 0.804 0.804 0.612
As 0.871 0.871 0.053
As 0.907 0.907 0.399
As 0.942 0.942 0.808

Values from the calculation:
The formation energy comes out at -278 meV per atom.



[3]
## Cs3Mg2Tl4 (GGA-PBE)

Data for a relaxed structure of Cs3Mg2Tl4.

Unit cell a=7.710 b=7.710 c=11.318 alpha=106.71 beta=106.71 gamma=38.75
Sites, in units of the cell vectors:
Cs 0.000 0.000 0.000
Cs 0.380 0.380 0.621
Cs 0.620 0.620 0.379
Mg 0.329 0.329 0.211
Mg 0.671 0.671 0.789
Tl 0.101 0.101 0.640
Tl 0.265 0.265 0.917
Tl 0.735 0.735 0.083
Tl 0.899 0.899 0.360

Values from the calculation:
The formation energy comes out at -37 meV per atom.



Number 1: final energy -14.1 eV/cell. Number 2: final energy -252.3 eV/cell. Number 3: final energy -15.5 eV/cell.